Entry 1:
CrTcPb2, optimized geometry, DFT GGA-PBE; energy of formation from the pure elements = 0.89 eV per atom; uncorrected energy = -5.96 eV per atom; theoretical density = 11.02 g/cm3; crystal system = cubic; V = 85 Å³ per cell
1.0
-2.408 2.254 -3.672
-4.168 -1.953 -1.783
-4.330 2.204 0.874
Cr Pb Tc
1 2 1
direct
0.500 0.500 0.500
0.250 0.250 0.250
0.000 0.000 0.000
0.750 0.750 0.750

Entry 2:
ZrCr2Tc, optimized geometry, DFT GGA-PBE; energy of formation from the pure elements = 0.10 eV per atom; uncorrected energy = -9.44 eV per atom; theoretical density = 8.15 g/cm3; crystal system = orthorhombic; V = 60 Å³ per cell
1.0
5.123 -0.005 -0.002
2.281 4.588 0.002
-3.220 -3.071 2.540
Cr Tc Zr
2 1 1
direct
0.990 0.990 0.000
0.510 0.510 0.000
0.750 0.250 0.500
0.250 0.750 0.500

Entry 3:
GdAlAu2, optimized geometry, DFT GGA-PBE; energy of formation from the pure elements = -0.54 eV per atom; uncorrected energy = -6.64 eV per atom; theoretical density = 11.57 g/cm3; crystal system = tetragonal; V = 83 Å³ per cell
1.0
-1.952 1.506 -2.800
-3.852 -2.305 1.445
-1.146 3.647 2.762
Al Au Gd
1 2 1
direct
0.500 0.000 0.000
0.000 0.500 0.000
0.000 0.000 0.500
0.500 0.500 0.500

Entry 4:
CaPIr4, optimized geometry, DFT GGA-PBE; energy of formation from the pure elements = 0.20 eV per atom; uncorrected energy = -6.95 eV per atom; theoretical density = 13.47 g/cm3; crystal system = cubic; V = 104 Å³ per cell
1.0
0.873 0.684 5.153
-3.213 3.073 2.832
-3.266 -2.151 3.535
P Ca Ir
1 1 4
direct
0.750 0.750 0.750
0.000 0.000 0.000
0.375 0.375 0.874
0.375 0.375 0.375
0.874 0.375 0.375
0.375 0.874 0.375